No. 1
This record from the Alexandria database describes LiHfInPt after structural relaxation. The functional is PBE.

Properties
Space-group type ... F-43m
Formation energy from the elements ... -0.733 eV per atom

```
16
Lattice="6.506 0.000 0.000 0.000 6.506 0.000 0.000 0.000 6.506" Properties=species:S:1:pos:R:3 pbc="T T T"
Li 0.000 0.000 0.000
Li 0.000 3.253 3.253
Li 3.253 0.000 3.253
Li 3.253 3.253 0.000
Hf 1.626 1.626 4.879
Hf 1.626 4.879 1.626
Hf 4.879 1.626 1.626
Hf 4.879 4.879 4.879
In 1.626 1.626 1.626
In 1.626 4.879 4.879
In 4.879 1.626 4.879
In 4.879 4.879 1.626
Pt 0.000 0.000 3.253
Pt 0.000 3.253 0.000
Pt 3.253 0.000 0.000
Pt 3.253 3.253 3.253
```

---

No. 2
This record from the Alexandria database describes LiHfIn2Pt after structural relaxation. The functional is PBE.

Properties
Space-group type ... P4/mmm
Formation energy from the elements ... 0.117 eV per atom
Fermi-level density of states ... 1.94 states/eV/cell

```
5
Lattice="4.646 0.000 0.000 0.000 4.646 0.000 0.000 0.000 4.379" Properties=species:S:1:pos:R:3 pbc="T T T"
Li 0.000 0.000 0.000
Hf 2.323 2.323 2.189
In 0.000 2.323 0.000
In 2.323 0.000 0.000
Pt 0.000 0.000 2.189
```

---

No. 3
This record from the Alexandria database describes LiHf2InRh after structural relaxation. The functional is PBE.

Properties
Space-group type ... P4/mmm
Formation energy from the elements ... 0.128 eV per atom
Fermi-level density of states ... 4.25 states/eV/cell

```
5
Lattice="4.962 0.000 0.000 0.000 4.962 0.000 0.000 0.000 4.575" Properties=species:S:1:pos:R:3 pbc="T T T"
Li 0.000 0.000 0.000
Hf 0.000 2.481 2.287
Hf 2.481 0.000 2.287
In 2.481 2.481 0.000
Rh 0.000 0.000 2.287
```

---

No. 4
This record from the Alexandria database describes LiHfInRh after structural relaxation. The functional is PBE.

Properties
Space-group type ... F-43m
Formation energy from the elements ... -0.507 eV per atom
Fermi-level density of states ... 19.95 states/eV/cell

```
16
Lattice="6.482 0.000 0.000 0.000 6.482 0.000 0.000 0.000 6.482" Properties=species:S:1:pos:R:3 pbc="T T T"
Li 0.000 0.000 0.000
Li 0.000 3.241 3.241
Li 3.241 0.000 3.241
Li 3.241 3.241 0.000
Hf 1.620 1.620 1.620
Hf 1.620 4.861 4.861
Hf 4.861 1.620 4.861
Hf 4.861 4.861 1.620
In 1.620 1.620 4.861
In 1.620 4.861 1.620
In 4.861 1.620 1.620
In 4.861 4.861 4.861
Rh 0.000 0.000 3.241
Rh 0.000 3.241 0.000
Rh 3.241 0.000 0.000
Rh 3.241 3.241 3.241
```

---

No. 5
This record from the Alexandria database describes LiHf2InRh after structural relaxation. The functional is PBE.

Properties
Space-group type ... P4/mmm
Formation energy from the elements ... 0.361 eV per atom
Fermi-level density of states ... 4.73 states/eV/cell

```
5
Lattice="4.717 0.000 0.000 0.000 4.717 0.000 0.000 0.000 4.192" Properties=species:S:1:pos:R:3 pbc="T T T"
Li 0.000 0.000 0.000
Hf 0.000 2.358 0.000
Hf 2.358 0.000 0.000
In 2.358 2.358 2.096
Rh 0.000 0.000 2.096
```

---

No. 6
This record from the Alexandria database describes Li2HfInS4 after structural relaxation. The functional is PBE.

Properties
Formation energy from raw total energies ... -1.181 eV per atom
Space-group type ... P2/m
Fermi-level density of states ... 2.27 states/eV/cell

```
8
Lattice="6.468 0.000 0.000 0.000 3.697 0.000 -2.380 0.000 6.343" Properties=species:S:1:pos:R:3 pbc="T T T"
Li 0.000 0.000 0.000
Li -1.190 1.849 3.171
Hf 2.044 0.000 3.171
In 3.234 1.849 0.000
S 1.037 1.849 1.655
S -0.064 0.000 4.622
S 4.151 0.000 1.721
S 3.051 1.849 4.688
```